The following is a GGA+U calculation of crystalline HfFeF3 at its relaxed geometry, from Alexandria via LeMat-Bulk.

The space group is Pm-3m (No. 221) and the conventional cell measures 4.2720, 4.2720 and 4.2720 Å, with angles of 90.00, 90.00 and 90.00 degrees. The inequivalent atoms are Hf at (0.0000, 0.0000, 0.0000), Fe at (0.5000, 0.5000, 0.5000) and F at (0.0000, 0.0000, 0.5000).

As for the energy above the most stable polymorph in this dataset: 0 meV/atom. Its density of states at the Fermi level is 9.28 states/eV/f.u. The value obtained for the total energy is -5.8739 eV per atom.